First-principles (GGA-PBE) data for a relaxed structure of SrSc2W, as listed in Alexandria via LeMat-Bulk.

Unit cell a=3.137 b=3.137 c=34.594 alpha=90.00 beta=90.00 gamma=120.00
Element x y z (fractional)
1 Sr 0.000 0.000 0.000
2 Sr 0.333 0.667 0.667
3 Sr 0.667 0.333 0.333
4 Sc 0.000 0.000 0.424
5 Sc 0.000 0.000 0.576
6 Sc 0.333 0.667 0.090
7 Sc 0.333 0.667 0.243
8 Sc 0.667 0.333 0.757
9 Sc 0.667 0.333 0.910
10 W 0.000 0.000 0.500
11 W 0.333 0.667 0.167
12 W 0.667 0.333 0.833

Computed properties:
- excess energy over the best structure of this formula in the dataset (meV/atom) = 575
- formation energy (eV per atom) = 0.94
- space-group type = R-3m, No. 166
- calculated volume (Å³ per atom) = 24.57
- total moment (μB per formula unit) = 0.000